Below is a geometry-optimized NaNb2Ag structure, with properties calculated at the PBE-GGA level.

The value obtained for the total energy is -5.0592 eV per atom. The calculation puts the formation energy at 1.0182 eV per atom. The calculated volume is 20.38 Å³ per atom.

The space group is I-42d (No. 122) and the conventional cell measures 7.9300, 7.9300 and 5.1861 Å, with angles of 90.00, 90.00 and 90.00 degrees. The distinct sites, in fractional coordinates, are Na at (0.0000, 0.0000, 0.0000), Nb at (0.2332, 0.7500, 0.6250) and Ag at (0.0000, 0.0000, 0.5000).

=====

Below is a geometry-optimized NaNbAg3 structure, with properties calculated at the PBE-GGA level.

The value obtained for the total energy is -2.9570 eV per atom. The calculation puts the formation energy at 1.0315 eV per atom. The calculated volume is 29.11 Å³ per atom.

The space group is Pm-3m (No. 221) and the conventional cell measures 5.2600, 5.2600 and 5.2600 Å, with angles of 90.00, 90.00 and 90.00 degrees. The distinct sites, in fractional coordinates, are Na at (0.0000, 0.0000, 0.0000), Nb at (0.5000, 0.5000, 0.5000) and Ag at (0.0000, 0.5000, 0.5000).